(1)
Here is ZrSc4N4 after structural relaxation from the Alexandria database. Energies are from PBE.

Properties
The value obtained for the density of states at the Fermi level is 0.206 states/eV/atom. The calculation puts the density at 4.6 g cm⁻³. For the uncorrected formation energy, the calculation gives -1.686 eV per atom. As for the raw total energy: -9.150 eV/atom.

```
data_ZrSc4N4
_chemical_formula_sum 'Zr1 Sc4 N4'
_symmetry_space_group_name_H-M 'P 1'
_symmetry_Int_Tables_number 1
_symmetry_space_group_name_Hall 'P 1'
_cell_length_a 4.5240
_cell_length_b 5.5845
_cell_length_c 5.5846
_cell_angle_alpha 80.55
_cell_angle_beta 66.11
_cell_angle_gamma 66.11
loop_
_atom_site_label
_atom_site_fract_x
_atom_site_fract_y
_atom_site_fract_z
N1 0.9014 0.3959 0.8013
N2 0.2973 0.8013 0.6041
N3 0.0986 0.6041 0.1987
N4 0.7027 0.1987 0.3959
Zr1 0.0000 0.0000 0.0000
Sc1 0.6091 0.5776 0.2042
Sc2 0.8133 0.7957 0.5777
Sc3 0.1867 0.2043 0.4223
Sc4 0.3909 0.4224 0.7958
```

(2)
Here is Cs4AuI2F after structural relaxation from the Alexandria database. Energies are from PBE.

Properties
The value obtained for the density of states at the Fermi level is 0.000 states/eV/atom. The calculation puts the density at 4.2 g cm⁻³. For the uncorrected formation energy, the calculation gives -1.457 eV per atom. As for the raw total energy: -2.915 eV/atom.

```
data_Cs4AuI2F
_chemical_formula_sum 'Cs8 Au2 I4 F2'
_symmetry_space_group_name_H-M 'P 1'
_symmetry_Int_Tables_number 1
_symmetry_space_group_name_Hall 'P 1'
_cell_length_a 10.3406
_cell_length_b 10.3406
_cell_length_c 10.3166
_cell_angle_alpha 119.69
_cell_angle_beta 119.69
_cell_angle_gamma 89.31
loop_
_atom_site_label
_atom_site_fract_x
_atom_site_fract_y
_atom_site_fract_z
I1 0.0000 0.0000 0.5000
I2 0.5000 0.0000 0.0000
I3 0.5000 0.5000 0.0000
I4 0.5000 0.0000 0.5000
Cs1 0.7591 0.7495 0.9845
Cs2 0.2821 0.7023 0.4924
Cs3 0.7977 0.2179 0.0076
Cs4 0.2495 0.2591 0.4845
Cs5 0.2409 0.2505 0.0155
Cs6 0.7179 0.2977 0.5076
Cs7 0.7505 0.7409 0.5155
Cs8 0.2023 0.7821 0.9924
F1 0.0000 0.0000 0.0000
F2 0.5000 0.5000 0.5000
Au1 0.0000 0.5000 0.5000
Au2 0.0000 0.5000 0.0000
```

(3)
Here is CsRb2Pd2 after structural relaxation from the Alexandria database. Energies are from PBE.

Properties
The value obtained for the density of states at the Fermi level is 0.495 states/eV/atom. The calculation puts the density at 4.2 g cm⁻³. The value obtained for the excess energy over the best structure of this formula in the dataset is 0.013 eV/atom. As for the formation enthalpy at 0 K: 0.200 eV/atom. As for the raw total energy: -2.435 eV/atom.

```
data_CsRb2Pd2
_chemical_formula_sum 'Cs1 Rb2 Pd2'
_symmetry_space_group_name_H-M 'P 1'
_symmetry_Int_Tables_number 1
_symmetry_space_group_name_Hall 'P 1'
_cell_length_a 5.5866
_cell_length_b 5.5866
_cell_length_c 7.6124
_cell_angle_alpha 68.47
_cell_angle_beta 68.47
_cell_angle_gamma 90.00
loop_
_atom_site_label
_atom_site_fract_x
_atom_site_fract_y
_atom_site_fract_z
Rb1 0.7500 0.2500 0.5000
Rb2 0.2500 0.7500 0.5000
Pd1 0.3987 0.3987 0.2026
Pd2 0.6013 0.6013 0.7974
Cs1 0.0000 0.0000 0.0000
```

(4)
Here is Mn2CrAg after structural relaxation from the Alexandria database. Energies are from PBE.

Properties
The value obtained for the density of states at the Fermi level is 0.944 states/eV/atom. The calculation puts the density at 7.4 g cm⁻³. The value obtained for the excess energy over the best structure of this formula in the dataset is 0.170 eV/atom. As for the formation enthalpy at 0 K: 0.414 eV/atom. As for the raw total energy: -7.289 eV/atom.

```
data_Mn2CrAg
_chemical_formula_sum 'Mn2 Cr1 Ag1'
_symmetry_space_group_name_H-M 'P 1'
_symmetry_Int_Tables_number 1
_symmetry_space_group_name_Hall 'P 1'
_cell_length_a 4.4068
_cell_length_b 4.4068
_cell_length_c 4.4068
_cell_angle_alpha 60.00
_cell_angle_beta 60.00
_cell_angle_gamma 60.00
loop_
_atom_site_label
_atom_site_fract_x
_atom_site_fract_y
_atom_site_fract_z
Ag1 0.5000 0.5000 0.5000
Mn1 0.0000 0.0000 0.0000
Mn2 0.2500 0.2500 0.2500
Cr1 0.7500 0.7500 0.7500
```